The following is a GGA-PBEsol calculation of a relaxed CoIr2W crystal, from Alexandria via LeMat-Bulk.

abc: 4.2775 4.2775 4.2775
angles: 60.00 60.00 60.00
With the nearest neighbours (Å) after each atom.
Fractional positions:
Co 0.0000 0.0000 0.0000  8 Ir 2.62
Ir 0.2500 0.2500 0.2500  4 W 2.62, 4 Co 2.62
Ir 0.7500 0.7500 0.7500  4 Co 2.62, 4 W 2.62
W 0.5000 0.5000 0.5000  8 Ir 2.62

ΔH_f (0 K)	0.168	eV per atom
SG	Fm-3m
V	13.8	Å³/atom
relative energy among the computed polymorphs	386	meV/atom